Arrangement P

11
Lattice="8.6063 -2.6028 0.0000 8.6063 2.6028 0.0000 -2.1533 0.0000 6.5223" Properties=species:S:1:pos:R:3 comment="Ho8TcAg2 | the Alexandria database | PBE | relaxed" spacegroup="C2/m, No. 12" pbc="T T T"
Ho -0.1742 0.0000 1.9211
Ho 1.6558 0.0000 5.2035
Ho 4.6883 0.0000 3.4980
Ho 6.8842 0.0000 0.4468
Ho 8.1750 0.0000 6.0755
Ho 10.3709 0.0000 3.0243
Ho 13.4034 0.0000 1.3188
Ho 15.2334 0.0000 4.6012
Tc 7.5296 0.0000 3.2611
Ag 2.7192 0.0000 1.3441
Ag 12.3400 0.0000 5.1782

Arrangement Q

11
Lattice="3.8406 -7.7548 0.0000 3.8406 7.7548 0.0000 -3.3387 0.0000 5.0825" Properties=species:S:1:pos:R:3 comment="Ho8TcAg2 | the Alexandria database | PBE | relaxed" spacegroup="Cm, No. 8" pbc="T T T"
Ho 0.0000 0.0000 0.0000
Ho 1.3234 2.9473 1.2112
Ho 2.1539 5.9871 2.7014
Ho 1.2274 1.8178 4.5658
Ho 1.3234 -2.9473 1.2112
Ho 3.0104 0.0000 1.8969
Ho 1.2274 -1.8178 4.5658
Ho 2.1539 -5.9871 2.7014
Tc 0.4879 0.0000 2.5941
Ag -0.2229 4.4569 3.7059
Ag -0.2229 -4.4569 3.7059

Of them, the most stable is arrangement P and the least stable is arrangement Q.

Arrangement P

11
Lattice="-2.0391 7.7996 4.8382 2.0391 -7.7996 4.8382 2.0391 7.7996 -4.8382" Properties=species:S:1:pos:R:3 comment="Ho7Ag2Te2 | the Alexandria database | PBE | relaxed" spacegroup="Imm2, No. 44" pbc="T T T"
Ho 0.0000 0.0000 0.0000
Ho 2.0391 2.8648 -1.1849
Ho 2.0391 -2.1713 2.3763
Ho 2.0391 2.1713 2.3763
Ho 2.0391 5.8578 0.8624
Ho 0.0000 4.9348 3.6533
Ho 0.0000 1.9419 5.7006
Ag 0.0000 3.6762 0.7405
Ag 0.0000 11.9231 0.7405
Te 0.0000 0.0000 3.2879
Te 0.0000 7.7996 2.3164

Arrangement Q

11
Lattice="4.0113 -5.3481 0.0000 4.0113 5.3481 0.0000 0.0000 0.0000 7.5910" Properties=species:S:1:pos:R:3 comment="Ho7Ag2Te2 | the Alexandria database | PBE | relaxed" spacegroup="Cmmm, No. 65" pbc="T T T"
Ho 0.0000 0.0000 0.0000
Ho 2.0056 2.6741 2.1692
Ho 2.0056 2.6741 5.4219
Ho 2.0056 -2.6741 2.1692
Ho 2.0056 -2.6741 5.4219
Ho 4.0113 0.0000 2.1017
Ho 4.0113 0.0000 5.4893
Ag 1.4322 0.0000 3.7955
Ag 6.5904 0.0000 3.7955
Te 4.0113 2.2963 0.0000
Te 4.0113 -2.2963 0.0000

Of them, the most stable is arrangement P and the least stable is arrangement Q.

Arrangement P

16
Lattice="7.6983 0.0000 0.0000 0.0000 7.6983 0.0000 0.0000 0.0000 7.6983" Properties=species:S:1:pos:R:3 comment="HoTh2Ag | the Alexandria database | PBE | relaxed" spacegroup="Fm-3m, No. 225" pbc="T T T"
Ho 0.0000 0.0000 0.0000
Ho 0.0000 3.8491 3.8491
Ho 3.8491 0.0000 3.8491
Ho 3.8491 3.8491 0.0000
Th 1.9246 1.9246 1.9246
Th 1.9246 1.9246 5.7737
Th 1.9246 5.7737 1.9246
Th 1.9246 5.7737 5.7737
Th 5.7737 1.9246 1.9246
Th 5.7737 1.9246 5.7737
Th 5.7737 5.7737 1.9246
Th 5.7737 5.7737 5.7737
Ag 0.0000 0.0000 3.8491
Ag 0.0000 3.8491 0.0000
Ag 3.8491 0.0000 0.0000
Ag 3.8491 3.8491 3.8491

Arrangement Q

4
Lattice="3.5344 0.0000 0.0000 0.0000 3.5344 0.0000 0.0000 0.0000 9.3739" Properties=species:S:1:pos:R:3 comment="HoTh2Ag | the Alexandria database | PBE | relaxed" spacegroup="P4/mmm, No. 123" pbc="T T T"
Ho 0.0000 0.0000 0.0000
Th 1.7672 1.7672 2.5698
Th 1.7672 1.7672 6.8041
Ag 0.0000 0.0000 4.6869

Of them, the most stable is arrangement Q and the least stable is arrangement P.

Arrangement P

4
Lattice="5.5478 0.0000 0.0000 0.0000 5.5478 0.0000 0.0000 0.0000 3.5787" Properties=species:S:1:pos:R:3 comment="Ho2ThAg | the Alexandria database | PBE | relaxed" spacegroup="P4/mmm, No. 123" pbc="T T T"
Ho 0.0000 2.7739 0.0000
Ho 2.7739 0.0000 0.0000
Th 0.0000 0.0000 1.7893
Ag 2.7739 2.7739 1.7893

Arrangement Q

12
Lattice="3.5333 0.0000 0.0000 -1.7666 3.0599 0.0000 0.0000 0.0000 31.6227" Properties=species:S:1:pos:R:3 comment="Ho2ThAg | the Alexandria database | PBE | relaxed" spacegroup="R3m, No. 160" pbc="T T T"
Ho 0.0000 0.0000 0.0000
Ho 0.0000 0.0000 5.8602
Ho 0.0000 2.0399 21.0818
Ho 0.0000 2.0399 26.9420
Ho 1.7666 1.0200 10.5409
Ho 1.7666 1.0200 16.4011
Th 0.0000 0.0000 24.0075
Th 0.0000 2.0399 13.4666
Th 1.7666 1.0200 2.9257
Ag 0.0000 0.0000 18.7447
Ag 0.0000 2.0399 8.2038
Ag 1.7666 1.0200 29.2856

Arrangement R

4
Lattice="3.6182 0.0000 0.0000 0.0000 3.6182 0.0000 0.0000 0.0000 8.3751" Properties=species:S:1:pos:R:3 comment="Ho2ThAg | the Alexandria database | PBE | relaxed" spacegroup="P4/mmm, No. 123" pbc="T T T"
Ho 0.0000 0.0000 1.8115
Ho 0.0000 0.0000 6.5637
Th 1.8091 1.8091 4.1876
Ag 1.8091 1.8091 0.0000

Arrangement S

12
Lattice="3.5560 0.0000 0.0000 -1.7780 3.0796 0.0000 0.0000 0.0000 31.0630" Properties=species:S:1:pos:R:3 comment="Ho2ThAg | the Alexandria database | PBE | relaxed" spacegroup="R-3m, No. 166" pbc="T T T"
Ho 0.0000 0.0000 7.5187
Ho 0.0000 0.0000 23.5443
Ho 0.0000 2.0531 13.1900
Ho 0.0000 2.0531 28.2273
Ho 1.7780 1.0265 2.8357
Ho 1.7780 1.0265 17.8730
Th 0.0000 0.0000 0.0000
Th 0.0000 2.0531 20.7086
Th 1.7780 1.0265 10.3543
Ag 0.0000 0.0000 15.5315
Ag 0.0000 2.0531 5.1772
Ag 1.7780 1.0265 25.8858

Of them, the most stable is arrangement R and the least stable is arrangement P.

Arrangement P

4
Lattice="3.3982 0.0000 0.0000 0.0000 3.3982 0.0000 0.0000 0.0000 8.2037" Properties=species:S:1:pos:R:3 comment="Ho2TiAg | the Alexandria database | PBE | relaxed" spacegroup="P4/mmm, No. 123" pbc="T T T"
Ho 0.0000 0.0000 2.0383
Ho 0.0000 0.0000 6.1653
Ti 1.6991 1.6991 4.1018
Ag 1.6991 1.6991 0.0000

Arrangement Q

4
Lattice="5.0977 0.0000 0.0000 0.0000 5.0977 0.0000 0.0000 0.0000 3.6750" Properties=species:S:1:pos:R:3 comment="Ho2TiAg | the Alexandria database | PBE | relaxed" spacegroup="P4/mmm, No. 123" pbc="T T T"
Ho 0.0000 2.5488 0.0000
Ho 2.5488 0.0000 0.0000
Ti 0.0000 0.0000 1.8375
Ag 2.5488 2.5488 1.8375

Of them, the most stable is arrangement P and the least stable is arrangement Q.

Arrangement P

7
Lattice="2.5733 1.4857 8.1961 -2.5733 1.4857 8.1961 0.0000 -2.9714 8.1961" Properties=species:S:1:pos:R:3 comment="Ho4TlAg2 | the Alexandria database | PBE | relaxed" spacegroup="R-3m, No. 166" pbc="T T T"
Ho 0.0000 0.0000 2.8298
Ho 0.0000 0.0000 9.0773
Ho 0.0000 0.0000 15.5108
Ho 0.0000 0.0000 21.7584
Tl 0.0000 0.0000 12.2941
Ag 0.0000 0.0000 6.0590
Ag 0.0000 0.0000 18.5291

Arrangement Q

7
Lattice="2.4571 1.4186 9.6826 -2.4571 1.4186 9.6826 0.0000 -2.8372 9.6826" Properties=species:S:1:pos:R:3 comment="Ho4TlAg2 | the Alexandria database | PBE | relaxed" spacegroup="R-3m, No. 166" pbc="T T T"
Ho 0.0000 0.0000 3.4760
Ho 0.0000 0.0000 8.6223
Ho 0.0000 0.0000 20.4255
Ho 0.0000 0.0000 25.5719
Tl 0.0000 0.0000 14.5239
Ag 0.0000 0.0000 11.5942
Ag 0.0000 0.0000 17.4537

Of them, the most stable is arrangement P and the least stable is arrangement Q.